[1]
Nd2YSc2 after structural relaxation, computed with PBE-GGA.

- DFT formation energy (eV/f.u.) = 0.656
- raw total energy (eV/cell) = -56.01
- DOS at the Fermi energy (states/eV/atom) = 1.832

Unit cell a=9.2386 b=9.2386 c=9.2386 alpha=145.04 beta=136.84 gamma=56.70
With the nearest neighbours (Å) after each atom.
Element x y z (fractional)
Nd1 0.2580 0.0080 0.2500  4 Nd 3.40-3.41, 2 Y 3.48, 4 Sc 3.48-3.67
Nd2 0.3790 0.6290 0.7500  6 Sc 3.37-3.44, 2 Y 3.40, 2 Nd 3.40
Nd3 0.6210 0.3710 0.2500  6 Sc 3.37-3.44, 2 Y 3.40, 2 Nd 3.40
Nd4 0.7420 0.9920 0.7500  4 Nd 3.40-3.41, 2 Y 3.48, 4 Sc 3.48-3.67
Y1 0.1286 0.3786 0.7500  4 Nd 3.40-3.48, 6 Sc 3.43-3.44
Y2 0.8714 0.6214 0.2500  4 Nd 3.40-3.48, 6 Sc 3.43-3.44
Sc1 0.1876 0.1936 0.9940  4 Sc 3.32-3.48, 5 Nd 3.37-3.67, 3 Y 3.43-3.44
Sc2 0.3004 0.8064 0.4940  4 Sc 3.32-3.48, 5 Nd 3.37-3.67, 3 Y 3.43-3.44
Sc3 0.6996 0.1936 0.5060  4 Sc 3.32-3.48, 5 Nd 3.37-3.67, 3 Y 3.43-3.44
Sc4 0.8124 0.8064 0.0060  4 Sc 3.32-3.48, 5 Nd 3.37-3.67, 3 Y 3.43-3.44


[2]
CsSb3Pd after structural relaxation, computed with PBE-GGA.

- ΔE_f (raw) (eV per atom) = -0.35
- raw total energy (eV/cell) = -80.61
- DOS at the Fermi energy (states/eV/atom) = 0.222

Unit cell a=9.6828 b=7.7469 c=9.6031 alpha=90.00 beta=107.72 gamma=90.00
With the nearest neighbours (Å) after each atom.
Element x y z (fractional)
Cs1 0.1280 0.0954 0.2238  7 Sb 3.77-4.21, 1 Pd 3.95
Cs2 0.1280 0.4046 0.7238  7 Sb 3.77-4.21, 1 Pd 3.95
Cs3 0.8720 0.5954 0.2762  7 Sb 3.77-4.21, 1 Pd 3.95
Cs4 0.8720 0.9046 0.7762  7 Sb 3.77-4.21, 1 Pd 3.95
Sb1 0.2173 0.6192 0.1166  1 Pd 2.76, 2 Sb 2.88-2.96
Sb2 0.2173 0.8808 0.6166  1 Pd 2.76, 2 Sb 2.88-2.96
Sb3 0.3196 0.0103 0.9205  2 Pd 2.68-2.73, 1 Sb 2.96
Sb4 0.3196 0.4897 0.4205  2 Pd 2.68-2.73, 1 Sb 2.96
Sb5 0.4630 0.0992 0.6369  3 Pd 2.72-2.81, 1 Sb 2.88
Sb6 0.4630 0.4008 0.1369  3 Pd 2.72-2.81, 1 Sb 2.88
Sb7 0.5370 0.5992 0.8631  3 Pd 2.72-2.81, 1 Sb 2.88
Sb8 0.5370 0.9008 0.3631  3 Pd 2.72-2.81, 1 Sb 2.88
Sb9 0.6804 0.5103 0.5795  2 Pd 2.68-2.73, 1 Sb 2.96
Sb10 0.6804 0.9897 0.0795  2 Pd 2.68-2.73, 1 Sb 2.96
Sb11 0.7827 0.1192 0.3834  1 Pd 2.76, 2 Sb 2.88-2.96
Sb12 0.7827 0.3808 0.8834  1 Pd 2.76, 2 Sb 2.88-2.96
Pd1 0.4713 0.7416 0.5914  6 Sb 2.68-2.81
Pd2 0.4713 0.7584 0.0914  6 Sb 2.68-2.81
Pd3 0.5287 0.2416 0.9086  6 Sb 2.68-2.81
Pd4 0.5287 0.2584 0.4086  6 Sb 2.68-2.81


[3]
Cr2TcTe after structural relaxation, computed with PBE-GGA.

- ΔE_f (raw) (eV per atom) = 0.42
- raw total energy (eV/cell) = -31.09
- DOS at the Fermi energy (states/eV/atom) = 1.087

Unit cell a=3.0889 b=3.0889 c=6.2192 alpha=90.00 beta=90.00 gamma=90.00
With the nearest neighbours (Å) after each atom.
Element x y z (fractional)
Cr1 0.0000 0.0000 0.2340  4 Tc 2.62, 4 Te 2.74, 1 Cr 2.91
Cr2 0.0000 0.0000 0.7660  4 Tc 2.62, 4 Te 2.74, 1 Cr 2.91
Tc1 0.5000 0.5000 0.0000  8 Cr 2.62
Te1 0.5000 0.5000 0.5000  8 Cr 2.74


[4]
CrInRu2C after structural relaxation, computed with PBE-GGA.

- DFT formation energy (eV/f.u.) = 0.262
- raw total energy (eV/cell) = -39.88
- DOS at the Fermi energy (states/eV/atom) = 0.562

Unit cell a=4.1367 b=4.1367 c=3.9807 alpha=90.00 beta=90.00 gamma=90.00
With the nearest neighbours (Å) after each atom.
Element x y z (fractional)
Cr1 0.0000 0.0000 0.0000  2 C 1.99
In1 0.5000 0.5000 0.0000  8 Ru 2.87, 4 Cr 2.93
Ru1 0.0000 0.5000 0.5000  2 C 2.07
Ru2 0.5000 0.0000 0.5000  2 C 2.07
C1 0.0000 0.0000 0.5000  2 Cr 1.99, 4 Ru 2.07


[5]
AcPrEr after structural relaxation, computed with PBE-GGA.

- DFT formation energy (eV/f.u.) = 0.162
- raw total energy (eV/cell) = -53.15
- DOS at the Fermi energy (states/eV/atom) = 1.287

Unit cell a=6.5732 b=12.1567 c=6.3143 alpha=90.00 beta=118.52 gamma=90.00
With the nearest neighbours (Å) after each atom.
Element x y z (fractional)
Ac1 0.1715 0.1320 0.1568  5 Er 3.64-3.81, 5 Pr 3.70-3.84, 1 Ac 3.88
Ac2 0.1715 0.3680 0.6568  5 Er 3.64-3.81, 5 Pr 3.70-3.84, 1 Ac 3.88
Ac3 0.8285 0.6320 0.3432  5 Er 3.64-3.81, 5 Pr 3.70-3.84, 1 Ac 3.88
Ac4 0.8285 0.8680 0.8432  5 Er 3.64-3.81, 5 Pr 3.70-3.84, 1 Ac 3.88
Pr1 0.1885 0.6161 0.0107  4 Er 3.56-3.68, 5 Ac 3.70-3.84, 1 Pr 3.72
Pr2 0.1885 0.8839 0.5107  4 Er 3.56-3.68, 5 Ac 3.70-3.84, 1 Pr 3.72
Pr3 0.8115 0.1161 0.4893  4 Er 3.56-3.68, 5 Ac 3.70-3.84, 1 Pr 3.72
Pr4 0.8115 0.3839 0.9893  4 Er 3.56-3.68, 5 Ac 3.70-3.84, 1 Pr 3.72
Er1 0.4842 0.6157 0.6581  1 Er 3.51, 4 Pr 3.56-3.68, 5 Ac 3.64-3.81
Er2 0.4842 0.8843 0.1581  1 Er 3.51, 4 Pr 3.56-3.68, 5 Ac 3.64-3.81
Er3 0.5158 0.1157 0.8419  1 Er 3.51, 4 Pr 3.56-3.68, 5 Ac 3.64-3.81
Er4 0.5158 0.3843 0.3419  1 Er 3.51, 4 Pr 3.56-3.68, 5 Ac 3.64-3.81


[6]
HoTlCrCl6 after structural relaxation, computed with PBE-GGA.

- ΔE_f (raw) (eV per atom) = -1.56
- raw total energy (eV/cell) = -41.73

Unit cell a=6.6453 b=6.6453 c=7.1841 alpha=91.57 beta=91.57 gamma=116.92
With the nearest neighbours (Å) after each atom.
Element x y z (fractional)
Ho1 0.0000 0.0000 0.0000  6 Cl 2.58-2.69
Tl1 0.3253 0.6747 0.5000  6 Cl 3.15-3.38
Cr1 0.6595 0.3405 0.0000  4 Cl 2.40-2.41
Cl1 0.3173 0.0406 0.2355  1 Ho 2.58, 1 Cr 2.88
Cl2 0.3370 0.3116 0.8163  1 Cr 2.41, 1 Ho 2.68
Cl3 0.6881 0.0625 0.7978  1 Cr 2.40
Cl4 0.6884 0.6630 0.1837  1 Cr 2.41, 1 Ho 2.68
Cl5 0.9375 0.3119 0.2022  1 Cr 2.40
Cl6 0.9594 0.6827 0.7645  1 Ho 2.58, 1 Cr 2.88


[7]
CeTmGa2Au4 after structural relaxation, computed with PBE-GGA.

- DFT formation energy (eV/f.u.) = -4.980
- raw total energy (eV/cell) = -34.55
- DOS at the Fermi energy (states/eV/atom) = 0.931

Unit cell a=9.0574 b=9.0574 c=9.0574 alpha=30.11 beta=30.11 gamma=30.11
With the nearest neighbours (Å) after each atom.
Element x y z (fractional)
Ce1 0.0000 0.0000 0.0000  8 Au 3.05-3.19
Tm1 0.5000 0.5000 0.5000  8 Au 2.92-2.94
Ga1 0.2481 0.2481 0.2481  6 Au 2.84-2.89
Ga2 0.7519 0.7519 0.7519  6 Au 2.84-2.89
Au1 0.1230 0.1230 0.1230  3 Ga 2.89, 3 Tm 2.94, 1 Ce 3.19
Au2 0.3872 0.3872 0.3872  3 Ga 2.84, 1 Tm 2.92, 3 Ce 3.05
Au3 0.6128 0.6128 0.6128  3 Ga 2.84, 1 Tm 2.92, 3 Ce 3.05
Au4 0.8770 0.8770 0.8770  3 Ga 2.89, 3 Tm 2.94, 1 Ce 3.19


[8]
PmGa3Au9 after structural relaxation, computed with PBE-GGA.

- DFT formation energy (eV/f.u.) = -3.792
- raw total energy (eV/cell) = -47.12
- DOS at the Fermi energy (states/eV/atom) = 0.361

Unit cell a=7.3374 b=7.3374 c=6.9008 alpha=96.50 beta=96.50 gamma=136.19
With the nearest neighbours (Å) after each atom.
Element x y z (fractional)
Pm1 0.0000 0.0000 0.0000  14 Au 3.25-3.45
Ga1 0.0000 0.5000 0.0000  2 Ga 2.74, 8 Au 2.75-2.78
Ga2 0.5000 0.0000 0.0000  2 Ga 2.74, 8 Au 2.75-2.78
Ga3 0.5000 0.5000 0.5000  6 Au 2.59-2.74
Au1 0.0000 0.0000 0.5000  2 Ga 2.74, 8 Au 2.86-2.93
Au2 0.0468 0.6929 0.6689  2 Ga 2.75-2.77, 5 Au 2.86-3.04
Au3 0.3071 0.9532 0.3311  2 Ga 2.75-2.77, 5 Au 2.86-3.04
Au4 0.3161 0.5300 0.7864  3 Ga 2.59-2.78, 1 Au 2.81
Au5 0.4700 0.6839 0.2136  3 Ga 2.59-2.78, 1 Au 2.81
Au6 0.5300 0.3161 0.7864  3 Ga 2.59-2.78, 1 Au 2.81
Au7 0.6839 0.4700 0.2136  3 Ga 2.59-2.78, 1 Au 2.81
Au8 0.6929 0.0468 0.6689  2 Ga 2.75-2.77, 5 Au 2.86-3.04
Au9 0.9532 0.3071 0.3311  2 Ga 2.75-2.77, 5 Au 2.86-3.04


[9]
Sr5As2N after structural relaxation, computed with PBE-GGA.

- ΔE_f (raw) (eV per atom) = -0.77
- raw total energy (eV/cell) = -64.47
- DOS at the Fermi energy (states/eV/atom) = 0.251

Unit cell a=7.7376 b=7.7376 c=13.9359 alpha=90.00 beta=90.00 gamma=134.83
With the nearest neighbours (Å) after each atom.
Element x y z (fractional)
Sr1 0.0565 0.9435 0.6249  1 N 2.57
Sr2 0.0565 0.9435 0.8751  1 N 2.57
Sr3 0.2811 0.7189 0.2500  2 N 3.00, 2 As 3.11
Sr4 0.3061 0.6939 0.6022  1 N 2.66
Sr5 0.3061 0.6939 0.8978  1 N 2.66
Sr6 0.6939 0.3061 0.1022  1 N 2.66
Sr7 0.6939 0.3061 0.3978  1 N 2.66
Sr8 0.7189 0.2811 0.7500  2 N 3.00, 2 As 3.11
Sr9 0.9435 0.0565 0.1249  1 N 2.57
Sr10 0.9435 0.0565 0.3751  1 N 2.57
As1 0.1535 0.8465 0.0691  6 Sr 3.04-3.23
As2 0.1535 0.8465 0.4309  6 Sr 3.04-3.23
As3 0.8465 0.1535 0.5691  6 Sr 3.04-3.23
As4 0.8465 0.1535 0.9309  6 Sr 3.04-3.23
N1 0.1882 0.8118 0.7500  4 Sr 2.57-2.66
N2 0.8118 0.1882 0.2500  4 Sr 2.57-2.66


[10]
Ag5SnPd4 after structural relaxation, computed with PBE-GGA.

- DFT formation energy (eV/f.u.) = -0.332
- raw total energy (eV/cell) = -39.36
- DOS at the Fermi energy (states/eV/atom) = 0.245

Unit cell a=7.1629 b=7.1629 c=6.4498 alpha=91.80 beta=91.80 gamma=35.73
With the nearest neighbours (Å) after each atom.
Element x y z (fractional)
Ag1 0.0000 0.0000 0.0000  6 Pd 2.73-2.79
Ag2 0.3216 0.3216 0.5145  5 Pd 2.75-2.88, 3 Ag 2.94-2.96
Ag3 0.3323 0.3323 0.9735  5 Pd 2.74-2.89, 1 Ag 2.96
Ag4 0.6677 0.6677 0.0265  5 Pd 2.74-2.89, 1 Ag 2.96
Ag5 0.6784 0.6784 0.4855  5 Pd 2.75-2.88, 3 Ag 2.94-2.96
Sn1 0.0000 0.0000 0.5000  6 Pd 2.64-2.67
Pd1 0.1575 0.1575 0.7504  1 Sn 2.64, 7 Ag 2.73-2.83
Pd2 0.4914 0.4914 0.2642  2 Sn 2.67, 6 Ag 2.79-2.89, 2 Pd 2.99
Pd3 0.5086 0.5086 0.7358  2 Sn 2.67, 6 Ag 2.79-2.89, 2 Pd 2.99
Pd4 0.8425 0.8425 0.2496  1 Sn 2.64, 7 Ag 2.73-2.83


[11]
Ag2Pt after structural relaxation, computed with PBE-GGA.

- DFT formation energy (eV/f.u.) = 0.010
- raw total energy (eV/cell) = -46.93
- DOS at the Fermi energy (states/eV/atom) = 0.403

Unit cell a=7.0758 b=2.8428 c=10.1127 alpha=90.00 beta=90.23 gamma=90.00
With the nearest neighbours (Å) after each atom.
Element x y z (fractional)
Ag1 0.0091 0.0000 0.2497  7 Ag 2.84-2.93, 5 Pt 2.88-2.90
Ag2 0.3301 0.5000 0.8292  9 Ag 2.83-2.92, 3 Pt 2.90-2.91
Ag3 0.3318 0.0000 0.0812  10 Ag 2.84-2.96, 2 Pt 2.86
Ag4 0.3491 0.5000 0.3375  7 Ag 2.83-2.96, 5 Pt 2.84-2.97
Ag5 0.6509 0.5000 0.6625  7 Ag 2.83-2.96, 5 Pt 2.84-2.97
Ag6 0.6682 0.0000 0.9188  10 Ag 2.84-2.96, 2 Pt 2.86
Ag7 0.6699 0.5000 0.1708  9 Ag 2.83-2.92, 3 Pt 2.90-2.91
Ag8 0.9909 0.0000 0.7503  7 Ag 2.84-2.93, 5 Pt 2.88-2.90
Pt1 0.0000 0.5000 0.0000  2 Pt 2.84, 10 Ag 2.86-2.91
Pt2 0.0000 0.5000 0.5000  6 Pt 2.76-2.84, 6 Ag 2.90-2.97
Pt3 0.3157 0.0000 0.5796  5 Pt 2.76-3.07, 7 Ag 2.84-2.90
Pt4 0.6843 0.0000 0.4204  5 Pt 2.76-3.07, 7 Ag 2.84-2.90


[12]
Be2ReI after structural relaxation, computed with PBE-GGA.

- ΔE_f (raw) (eV per atom) = 1.35
- raw total energy (eV/cell) = -16.03
- DOS at the Fermi energy (states/eV/atom) = 0.384

Unit cell a=4.3406 b=4.3406 c=4.3406 alpha=60.00 beta=60.00 gamma=60.00
With the nearest neighbours (Å) after each atom.
Element x y z (fractional)
Be1 0.2500 0.2500 0.2500  4 Re 2.66, 4 I 2.66
Be2 0.7500 0.7500 0.7500  4 Re 2.66, 4 I 2.66
Re1 0.0000 0.0000 0.0000  8 Be 2.66
I1 0.5000 0.5000 0.5000  8 Be 2.66


| no. | total magnetization (μB/f.u.) |
| --- | --- |
| 1 | 0.000 |
| 2 | 0.000 |
| 3 | 0.004 |
| 4 | 2.703 |
| 5 | 0.000 |
| 6 | 4.000 |
| 7 | 0.510 |
| 8 | 0.000 |
| 9 | 0.840 |
| 10 | 0.000 |
| 11 | 0.000 |
| 12 | 0.000 |